a) ## BaHg3Os (PBE)

Data for a relaxed BaHg3Os crystal.

Geometry as extended XYZ:
```
5
Lattice="6.419 0.000 0.000 0.000 6.419 0.000 0.000 0.000 6.419" Properties=species:S:1:pos:R:3 pbc="T T T"
Ba 0.000 0.000 0.000
Hg 0.000 0.000 3.209
Hg 0.000 3.209 0.000
Hg 3.209 0.000 0.000
Os 3.209 3.209 3.209
```

space group	Pm-3m
DOS(E_F)	2.245	states/eV/atom
calculated density	5.836	g/cm3

b) ## BaHg3Os (PBE)

Data for a relaxed BaHg3Os crystal.

Geometry as extended XYZ:
```
5
Lattice="5.304 0.000 0.000 0.000 5.304 0.000 0.000 0.000 5.304" Properties=species:S:1:pos:R:3 pbc="T T T"
Ba 0.000 0.000 0.000
Hg 0.000 2.652 2.652
Hg 2.652 0.000 2.652
Hg 2.652 2.652 0.000
Os 2.652 2.652 2.652
```

space group	Pm-3m
DOS(E_F)	0.610	states/eV/atom
calculated density	10.343	g/cm3

If we sort the structures by their calculated energies, the order from most to least stable is b), a).

a) ## Ba4HgP (PBE)

Data for a relaxed Ba4HgP crystal.

Geometry as extended XYZ:
```
6
Lattice="5.648 0.000 0.000 0.000 5.646 0.000 -0.007 0.000 8.143" Properties=species:S:1:pos:R:3 pbc="T T T"
Ba -0.001 0.000 1.872
Ba 5.642 0.000 6.271
Ba 2.820 2.823 1.872
Ba 2.821 2.823 6.271
Hg -0.003 2.823 4.072
P 2.824 0.000 0.000
```

space group	P2/m
DOS(E_F)	0.965	states/eV/atom
calculated density	4.993	g/cm3

b) ## Ba4HgP (PBE)

Data for a relaxed Ba4HgP crystal.

Geometry as extended XYZ:
```
6
Lattice="0.000 5.019 5.019 5.019 0.000 5.019 5.019 5.019 0.000" Properties=species:S:1:pos:R:3 pbc="T T T"
Ba 3.779 3.779 3.779
Ba 6.259 6.259 3.779
Ba 6.259 3.779 6.259
Ba 3.779 6.259 6.259
Hg 0.000 0.000 0.000
P 7.529 7.529 7.529
```

space group	F-43m
DOS(E_F)	1.362	states/eV/atom
calculated density	5.127	g/cm3

If we sort the structures by their calculated energies, the order from most to least stable is a), b).

a) ## BaHg3P (PBE)

Data for a relaxed BaHg3P crystal.

Geometry as extended XYZ:
```
5
Lattice="5.314 0.000 0.000 0.000 5.314 0.000 0.000 0.000 5.314" Properties=species:S:1:pos:R:3 pbc="T T T"
Ba 0.000 0.000 0.000
Hg 0.000 2.657 2.657
Hg 2.657 0.000 2.657
Hg 2.657 2.657 0.000
P 2.657 2.657 2.657
```

space group	Pm-3m
DOS(E_F)	1.019	states/eV/atom
calculated density	8.520	g/cm3

b) ## BaHg3P (PBE)

Data for a relaxed BaHg3P crystal.

Geometry as extended XYZ:
```
5
Lattice="6.592 0.000 0.000 0.000 6.592 0.000 0.000 0.000 6.592" Properties=species:S:1:pos:R:3 pbc="T T T"
Ba 0.000 0.000 0.000
Hg 0.000 0.000 3.296
Hg 0.000 3.296 0.000
Hg 3.296 0.000 0.000
P 3.296 3.296 3.296
```

space group	Pm-3m
DOS(E_F)	1.581	states/eV/atom
calculated density	4.465	g/cm3

If we sort the structures by their calculated energies, the order from most to least stable is a), b).

a) ## BaHgPS2 (PBE)

Data for a relaxed BaHgPS2 crystal.

Geometry as extended XYZ:
```
5
Lattice="5.244 0.000 0.000 0.000 5.244 0.000 0.000 0.000 4.937" Properties=species:S:1:pos:R:3 pbc="T T T"
Ba 0.000 0.000 0.000
Hg 2.622 2.622 2.468
P 2.622 2.622 0.000
S 0.000 2.622 2.468
S 2.622 0.000 2.468
```

space group	P4/mmm
DOS(E_F)	0.792	states/eV/atom
calculated density	5.297	g/cm3

b) ## BaHgPS2 (PBE)

Data for a relaxed BaHgPS2 crystal.

Geometry as extended XYZ:
```
5
Lattice="6.093 0.000 0.000 0.000 6.093 0.000 0.000 0.000 6.870" Properties=species:S:1:pos:R:3 pbc="T T T"
Ba 0.000 0.000 0.000
Hg 3.047 3.047 3.435
P 0.000 0.000 3.435
S 0.000 3.047 0.000
S 3.047 0.000 0.000
```

space group	P4/mmm
DOS(E_F)	1.450	states/eV/atom
calculated density	2.819	g/cm3

If we sort the structures by their calculated energies, the order from most to least stable is a), b).

a) ## Ba2HgPb (PBE)

Data for a relaxed Ba2HgPb crystal.

Geometry as extended XYZ:
```
4
Lattice="-2.191 2.813 6.187 2.191 -2.813 6.187 2.191 2.813 -6.187" Properties=species:S:1:pos:R:3 pbc="T T T"
Ba 0.000 0.000 0.000
Ba 0.000 2.813 2.584
Hg 2.191 0.000 3.002
Pb 0.000 0.000 5.273
```

space group	Imm2
DOS(E_F)	0.959	states/eV/atom
calculated density	7.429	g/cm3

b) ## Ba2HgPb (PBE)

Data for a relaxed Ba2HgPb crystal.

Geometry as extended XYZ:
```
4
Lattice="0.000 4.274 4.274 4.274 0.000 4.274 4.274 4.274 0.000" Properties=species:S:1:pos:R:3 pbc="T T T"
Ba 2.137 2.137 2.137
Ba 6.412 6.412 6.412
Hg 0.000 0.000 0.000
Pb 4.274 4.274 4.274
```

space group	Fm-3m
DOS(E_F)	0.003	states/eV/atom
calculated density	7.255	g/cm3

c) ## Ba2HgPb (PBE)

Data for a relaxed Ba2HgPb crystal.

Geometry as extended XYZ:
```
8
Lattice="-3.072 3.072 10.564 3.072 -3.072 10.564 3.072 3.072 -10.564" Properties=species:S:1:pos:R:3 pbc="T T T"
Ba 4.608 1.513 -2.641
Ba 1.513 1.536 2.641
Ba -1.536 1.560 7.923
Ba 1.560 1.536 13.205
Hg 0.000 0.000 0.000
Hg 0.000 3.072 5.282
Pb 3.072 0.000 5.282
Pb 0.000 0.000 10.564
```

space group	I-42d
DOS(E_F)	0.847	states/eV/atom
calculated density	5.683	g/cm3

If we sort the structures by their calculated energies, the order from most to least stable is b), a), c).

a) ## Ba3Hg2Pb (PBE)

Data for a relaxed Ba3Hg2Pb crystal.

Geometry as extended XYZ:
```
6
Lattice="4.178 0.000 0.000 0.000 4.178 0.000 0.000 0.000 13.144" Properties=species:S:1:pos:R:3 pbc="T T T"
Ba 0.000 0.000 0.000
Ba 0.000 0.000 4.282
Ba 0.000 0.000 8.862
Hg 2.089 2.089 2.135
Hg 2.089 2.089 11.009
Pb 2.089 2.089 6.572
```

space group	P4/mmm
DOS(E_F)	0.732	states/eV/atom
calculated density	7.386	g/cm3

b) ## Ba3Hg2Pb (PBE)

Data for a relaxed Ba3Hg2Pb crystal.

Geometry as extended XYZ:
```
12
Lattice="2.996 -9.025 0.000 2.996 9.025 0.000 -0.007 0.000 8.519" Properties=species:S:1:pos:R:3 pbc="T T T"
Ba 5.990 0.000 2.132
Ba -0.005 0.000 6.387
Ba 2.996 3.012 2.125
Ba 2.989 3.012 6.394
Ba 2.996 -3.012 2.125
Ba 2.989 -3.012 6.394
Hg 2.992 6.027 4.260
Hg 2.996 0.000 0.000
Hg 2.992 0.000 4.260
Hg 2.992 -6.027 4.260
Pb 2.996 6.069 0.000
Pb 2.996 -6.069 0.000
```

space group	C2/m
DOS(E_F)	0.652	states/eV/atom
calculated density	7.356	g/cm3

If we sort the structures by their calculated energies, the order from most to least stable is b), a).